A plane-wave DFT calculation with PBE-GGA was carried out for Ir2Br after structural relaxation.

abc: 2.672 3.801 13.707
angles: 90.00 90.00 90.00
Space group Immm (No. 71)
Asymmetric unit:
Ir 0.000 0.000 0.215 (multiplicity 4)
Br 0.000 0.000 0.500 (multiplicity 2)

E_form (uncorrected)   807 meV per atom
Energy above the most stable polymorph in this dataset   1.352 eV/f.u.


A plane-wave DFT calculation with PBE-GGA was carried out for LiThMgRu after structural relaxation.

abc: 6.826 6.826 6.826
angles: 90.00 90.00 90.00
Space group F-43m (No. 216)
Asymmetric unit:
Li 0.000 0.000 0.000 (multiplicity 4)
Th 0.250 0.250 0.750 (multiplicity 4)
Mg 0.250 0.250 0.250 (multiplicity 4)
Ru 0.000 0.000 0.500 (multiplicity 4)

Energy relative to the elements   -126 meV/atom


A plane-wave DFT calculation with PBE-GGA was carried out for LaHRh after structural relaxation.

abc: 3.9607 3.9607 3.7581
angles: 90.00 90.00 120.00
Space group P-6m2 (No. 187)
Asymmetric unit:
La 0.0000 0.0000 0.0000 (multiplicity 1)
H 0.3333 0.6667 0.5000 (multiplicity 1)
Rh 0.6667 0.3333 0.5000 (multiplicity 1)

Energy above the most stable polymorph in this dataset   0.940 eV/f.u.


Computed values of D(E_F) (unit: states/eV/f.u.) for the preceding records, in sequence: 2.39, 3.54, 1.17.
Computed values of final energy (unit: eV/atom) for the preceding records, in sequence: -5.66, -5.18, -5.57.